# 1
First-principles (PBE) data for a geometry-optimized La3Ho2Er7 structure, as listed in Alexandria via LeMat-Bulk.

Values from the calculation:
Its uncorrected energy is -0.167 hartree per atom. Its symmetry is Cmmm. As for the crystal system: orthorhombic. The calculation puts the formation energy at 123 meV per atom. Its calculated volume is 393 Å³ per cell.

Cell lengths 19.3081, 19.3081, 3.5883 Å; angles 90.00, 90.00, 162.92 degrees
Fractional coordinates of all 12 atoms:
La: 0.5000 0.5000 0.5000
La: 0.1842 0.8158 0.0000
La: 0.8158 0.1842 0.0000
Er: 0.0890 0.9110 0.5000
Er: 0.4276 0.5724 0.0000
Er: 0.0000 0.0000 0.0000
Er: 0.2703 0.7297 0.5000
Er: 0.7297 0.2703 0.5000
Er: 0.5724 0.4276 0.0000
Er: 0.9110 0.0890 0.5000
Ho: 0.6454 0.3546 0.5000
Ho: 0.3546 0.6454 0.5000

# 2
First-principles (PBE) data for a geometry-optimized La2HoEr2 structure, as listed in Alexandria via LeMat-Bulk.

Values from the calculation:
Its uncorrected energy is -0.172 hartree per atom. The calculation puts the offset from the most stable computed form at 0.0000 eV per atom. Its symmetry is C2/c. As for the crystal system: monoclinic. The calculation puts the formation energy at 26 meV per atom. Its calculated volume is 336 Å³ per cell.

Cell lengths 6.3779, 8.5598, 6.8218 Å; angles 102.84, 90.00, 111.87 degrees
Fractional coordinates of all 10 atoms:
Ho: 0.4150 0.0000 0.2500
Ho: 0.5850 0.0000 0.7500
La: 0.3871 0.6014 0.3483
La: 0.2143 0.6014 0.8483
La: 0.7857 0.3986 0.1517
La: 0.6129 0.3986 0.6517
Er: 0.1777 0.1907 0.9501
Er: 0.8223 0.8093 0.0499
Er: 0.0130 0.1907 0.4501
Er: 0.9870 0.8093 0.5499

# 3
First-principles (PBE) data for a geometry-optimized La3HoEr structure, as listed in Alexandria via LeMat-Bulk.

Values from the calculation:
Its uncorrected energy is -0.175 hartree per atom. The calculation puts the offset from the most stable computed form at 0.0000 eV per atom. Its symmetry is P-1. As for the crystal system: triclinic. The calculation puts the formation energy at 27 meV per atom. Its calculated volume is 344 Å³ per cell.

Cell lengths 6.2874, 6.2891, 9.6895 Å; angles 84.09, 71.08, 71.51 degrees
Fractional coordinates of all 10 atoms:
Ho: 0.1636 0.6558 0.3904
Ho: 0.8620 0.1556 0.9949
La: 0.0646 0.1557 0.5897
La: 0.4617 0.1552 0.7956
La: 0.5640 0.6555 0.5901
La: 0.9613 0.6559 0.7954
La: 0.2631 0.1553 0.1929
La: 0.7625 0.6560 0.1927
Er: 0.3619 0.6553 0.9946
Er: 0.6636 0.1558 0.3910

# 4
First-principles (PBE) data for a geometry-optimized La2Ho5Er structure, as listed in Alexandria via LeMat-Bulk.

Values from the calculation:
Its uncorrected energy is -0.170 hartree per atom. Its symmetry is Pbam. As for the crystal system: orthorhombic. The calculation puts the formation energy at 35 meV per atom. Its calculated volume is 520 Å³ per cell.

Cell lengths 5.0754, 7.1550, 14.3093 Å; angles 90.00, 90.00, 90.00 degrees
Fractional coordinates of all 16 atoms:
Ho: 0.5000 0.2495 0.8750
Ho: 0.0000 0.0004 0.2501
Ho: 0.0000 0.9996 0.7499
Ho: 0.0000 0.0000 0.0000
Ho: 0.0000 0.5000 0.5000
Ho: 0.5000 0.7505 0.1250
Ho: 0.0000 0.4996 0.7501
Ho: 0.5000 0.7495 0.6250
Ho: 0.5000 0.2505 0.3750
Ho: 0.0000 0.5004 0.2499
La: 0.5000 0.2504 0.1249
La: 0.5000 0.7496 0.8751
La: 0.5000 0.2496 0.6249
La: 0.5000 0.7504 0.3751
Er: 0.0000 0.5000 0.0000
Er: 0.0000 0.0000 0.5000

# 5
First-principles (PBE) data for a geometry-optimized La16Ho6Er7 structure, as listed in Alexandria via LeMat-Bulk.

Values from the calculation:
Its uncorrected energy is -0.168 hartree per atom. Its symmetry is Fm-3m. As for the crystal system: cubic. The calculation puts the formation energy at 190 meV per atom. Its calculated volume is 1059 Å³ per cell.

Cell lengths 11.4414, 11.4414, 11.4414 Å; angles 60.00, 60.00, 60.00 degrees
Fractional coordinates of all 29 atoms:
Ho: 0.2587 0.7413 0.7413
Ho: 0.2587 0.2587 0.7413
Ho: 0.7413 0.7413 0.2587
Ho: 0.7413 0.2587 0.2587
Ho: 0.7413 0.2587 0.7413
Ho: 0.2587 0.7413 0.2587
Er: 0.5000 0.5000 0.0000
Er: 0.5000 0.0000 0.0000
Er: 0.0000 0.5000 0.5000
Er: 0.0000 0.5000 0.0000
Er: 0.0000 0.0000 0.5000
Er: 0.5000 0.0000 0.5000
Er: 0.0000 0.0000 0.0000
La: 0.8748 0.3756 0.8748
La: 0.1252 0.6244 0.1252
La: 0.3528 0.9417 0.3528
La: 0.0583 0.6472 0.6472
La: 0.6244 0.1252 0.1252
La: 0.1252 0.1252 0.6244
La: 0.3528 0.3528 0.9417
La: 0.8748 0.8748 0.3756
La: 0.6472 0.0583 0.6472
La: 0.9417 0.3528 0.3528
La: 0.8748 0.8748 0.8748
La: 0.6472 0.6472 0.0583
La: 0.6472 0.6472 0.6472
La: 0.3528 0.3528 0.3528
La: 0.3756 0.8748 0.8748
La: 0.1252 0.1252 0.1252

# 6
First-principles (PBE) data for a geometry-optimized LaHo7Er4 structure, as listed in Alexandria via LeMat-Bulk.

Values from the calculation:
Its uncorrected energy is -0.159 hartree per atom. The calculation puts the offset from the most stable computed form at 0.2761 eV per atom. Its symmetry is C2/m. As for the crystal system: monoclinic. The calculation puts the formation energy at 278 meV per atom. Its calculated volume is 390 Å³ per cell.

Cell lengths 5.8513, 11.4626, 6.6936 Å; angles 82.86, 64.08, 75.21 degrees
Fractional coordinates of all 12 atoms:
Ho: 0.5000 0.0000 0.0000
Ho: 0.3645 0.5066 0.7645
Ho: 0.0559 0.6629 0.2253
Ho: 0.9441 0.3371 0.7747
Ho: 0.7896 0.9217 0.4990
Ho: 0.6355 0.4934 0.2355
Ho: 0.2104 0.0783 0.5010
Er: 0.2559 0.3136 0.1746
Er: 0.3722 0.7742 0.4814
Er: 0.7441 0.6864 0.8254
Er: 0.6278 0.2258 0.5186
La: 0.0000 0.0000 0.0000

Q: What is the calculated volume in the first record?
A: 393 Å³ per cell

What did the fifth record say?
First-principles (PBE) data for a geometry-optimized La16Ho6Er7 structure, as listed in Alexandria via LeMat-Bulk.

Values from the calculation:
Its uncorrected energy is -0.168 hartree per atom. Its symmetry is Fm-3m. As for the crystal system: cubic. The calculation puts the formation energy at 190 meV per atom. Its calculated volume is 1059 Å³ per cell.

Cell lengths 11.4414, 11.4414, 11.4414 Å; angles 60.00, 60.00, 60.00 degrees
Fractional coordinates of all 29 atoms:
Ho: 0.2587 0.7413 0.7413
Ho: 0.2587 0.2587 0.7413
Ho: 0.7413 0.7413 0.2587
Ho: 0.7413 0.2587 0.2587
Ho: 0.7413 0.2587 0.7413
Ho: 0.2587 0.7413 0.2587
Er: 0.5000 0.5000 0.0000
Er: 0.5000 0.0000 0.0000
Er: 0.0000 0.5000 0.5000
Er: 0.0000 0.5000 0.0000
Er: 0.0000 0.0000 0.5000
Er: 0.5000 0.0000 0.5000
Er: 0.0000 0.0000 0.0000
La: 0.8748 0.3756 0.8748
La: 0.1252 0.6244 0.1252
La: 0.3528 0.9417 0.3528
La: 0.0583 0.6472 0.6472
La: 0.6244 0.1252 0.1252
La: 0.1252 0.1252 0.6244
La: 0.3528 0.3528 0.9417
La: 0.8748 0.8748 0.3756
La: 0.6472 0.0583 0.6472
La: 0.9417 0.3528 0.3528
La: 0.8748 0.8748 0.8748
La: 0.6472 0.6472 0.0583
La: 0.6472 0.6472 0.6472
La: 0.3528 0.3528 0.3528
La: 0.3756 0.8748 0.8748
La: 0.1252 0.1252 0.1252

Q: Among the records above, which one has the lowest formation energy?
A: La2HoEr2

Q: formation energy of number 2 (La2HoEr2)?
A: 26 meV per atom